Entry 1:
Material: Tb4Ho3Au4
Method: DFT, PBE
State: relaxed

**SG**: Immm
**Energy relative to the elements**: -0.5680 eV per atom

Cell: 9.851 9.851 9.851 Å, 157.97 124.92 60.03°
Fractional positions:
Tb 0.025 0.838 0.187
Tb 0.349 0.162 0.187
Tb 0.651 0.838 0.813
Tb 0.975 0.162 0.813
Ho 0.000 0.500 0.500
Ho 0.398 0.398 0.000
Ho 0.602 0.602 0.000
Au 0.255 0.755 0.500
Au 0.316 0.000 0.316
Au 0.684 0.000 0.684
Au 0.745 0.245 0.500

Entry 2:
Material: TbHoAu2
Method: DFT, PBE
State: relaxed

**SG**: P4/mmm
**Energy relative to the elements**: -0.8593 eV per atom
**Energy above the most stable polymorph in this dataset**: 0.024 eV/atom

Cell: 3.588 3.588 7.240 Å, 90.00 90.00 90.00°
Fractional positions:
Tb 0.000 0.000 0.000
Ho 0.000 0.000 0.500
Au 0.500 0.500 0.256
Au 0.500 0.500 0.744

Entry 3:
Material: TbHoAu
Method: DFT, PBE
State: relaxed

**SG**: P2_1/c
**Energy relative to the elements**: -0.5290 eV per atom
**Energy above the most stable polymorph in this dataset**: 0.109 eV/atom

Cell: 6.887 7.190 6.870 Å, 90.00 90.76 90.00°
Fractional positions:
Tb 0.058 0.248 0.001
Tb 0.058 0.252 0.501
Tb 0.942 0.748 0.499
Tb 0.942 0.752 0.999
Ho 0.387 0.590 0.249
Ho 0.387 0.910 0.749
Ho 0.613 0.090 0.251
Ho 0.613 0.410 0.751
Au 0.221 0.539 0.755
Au 0.221 0.961 0.255
Au 0.779 0.039 0.745
Au 0.779 0.461 0.245

Entry 4:
Material: Tb3HoAu2
Method: DFT, PBE
State: relaxed

**SG**: Ibam
**Energy relative to the elements**: -0.4517 eV per atom
**Energy above the most stable polymorph in this dataset**: 0.176 eV/atom

Cell: 8.606 8.606 8.606 Å, 131.64 72.46 129.57°
Fractional positions:
Tb 0.018 0.750 0.268
Tb 0.250 0.250 0.000
Tb 0.482 0.750 0.732
Tb 0.518 0.250 0.268
Tb 0.750 0.750 0.000
Tb 0.982 0.250 0.732
Ho 0.000 0.500 0.500
Ho 0.500 0.000 0.500
Au 0.141 0.206 0.347
Au 0.359 0.706 0.065
Au 0.641 0.294 0.935
Au 0.859 0.794 0.653

Please write out number 4 again, unchanged.
Material: Tb3HoAu2
Method: DFT, PBE
State: relaxed

**SG**: Ibam
**Energy relative to the elements**: -0.4517 eV per atom
**Energy above the most stable polymorph in this dataset**: 0.176 eV/atom

Cell: 8.606 8.606 8.606 Å, 131.64 72.46 129.57°
Fractional positions:
Tb 0.018 0.750 0.268
Tb 0.250 0.250 0.000
Tb 0.482 0.750 0.732
Tb 0.518 0.250 0.268
Tb 0.750 0.750 0.000
Tb 0.982 0.250 0.732
Ho 0.000 0.500 0.500
Ho 0.500 0.000 0.500
Au 0.141 0.206 0.347
Au 0.359 0.706 0.065
Au 0.641 0.294 0.935
Au 0.859 0.794 0.653